The following is a PBEsol calculation of a relaxed LiLaSn2 crystal, from Alexandria.

Cell: 4.5109 4.5233 9.7899 Å, 76.64 90.00 90.00°
Closest atoms and distances in Å follow each position.
Fractional coordinates of all 8 atoms:
Li: 0.2500 0.6757 0.6486  5 Sn 2.52-2.67
Li: 0.7500 0.3243 0.3514  5 Sn 2.52-2.67
La: 0.2500 0.8933 0.2134  10 Sn 3.41-3.65, 4 Li 3.45
La: 0.7500 0.1067 0.7866  10 Sn 3.41-3.65, 4 Li 3.45
Sn: 0.2500 0.5436 0.9128  1 Li 2.52, 2 Sn 2.80
Sn: 0.7500 0.4564 0.0872  1 Li 2.52, 2 Sn 2.80
Sn: 0.2500 0.2499 0.5003  4 Li 2.66-2.67
Sn: 0.7500 0.7501 0.4997  4 Li 2.66-2.67

Computed properties:
As for the space-group type: Cmcm (63). The formation energy is -15.5 kcal/mol of atoms.

=====

The following is a PBEsol calculation of a relaxed SrCaNi8Sn4 crystal, from Alexandria.

Cell: 6.6659 6.6659 6.6659 Å, 109.61 109.61 109.19°
Closest atoms and distances in Å follow each position.
Fractional coordinates of all 14 atoms:
Sr: 0.0000 0.0000 0.0000  8 Ni 3.07
Ca: 0.5000 0.5000 0.0000  8 Ni 3.03
Ni: 0.0543 0.5499 0.7764  4 Ni 2.48-2.77, 4 Sn 2.54-2.63
Ni: 0.7735 0.2779 0.2236  4 Ni 2.48-2.77, 4 Sn 2.54-2.63
Ni: 0.5499 0.7735 0.4956  4 Ni 2.48-2.77, 4 Sn 2.54-2.63
Ni: 0.2779 0.0543 0.5044  4 Ni 2.48-2.77, 4 Sn 2.54-2.63
Ni: 0.4501 0.9457 0.2236  4 Ni 2.48-2.77, 4 Sn 2.54-2.63
Ni: 0.7221 0.2265 0.7764  4 Ni 2.48-2.77, 4 Sn 2.54-2.63
Ni: 0.9457 0.7221 0.4956  4 Ni 2.48-2.77, 4 Sn 2.54-2.63
Ni: 0.2265 0.4501 0.5044  4 Ni 2.48-2.77, 4 Sn 2.54-2.63
Sn: 0.4089 0.9089 0.8179  8 Ni 2.54-2.63
Sn: 0.0911 0.5911 0.1821  8 Ni 2.54-2.63
Sn: 0.9089 0.0911 0.5000  8 Ni 2.54-2.63
Sn: 0.5911 0.4089 0.5000  8 Ni 2.54-2.63

Computed properties:
As for the space-group type: I422 (97). The formation energy is -8.2 kcal/mol of atoms.

=====

The following is a PBEsol calculation of a relaxed Ca2Mg crystal, from Alexandria.

Cell: 3.8722 9.6409 9.6409 Å, 120.00 90.00 90.00°
Closest atoms and distances in Å follow each position.
Fractional coordinates of all 9 atoms:
Ca: 0.5000 0.7194 0.7194  4 Mg 3.33-3.50
Ca: 0.5000 0.0000 0.2806  4 Mg 3.33-3.50
Ca: 0.5000 0.2806 0.0000  4 Mg 3.33-3.50
Ca: 0.0000 0.3812 0.3812  5 Mg 3.58-3.67, 8 Ca 3.79-3.87
Ca: 0.0000 0.0000 0.6188  5 Mg 3.58-3.67, 8 Ca 3.79-3.87
Ca: 0.0000 0.6188 0.0000  5 Mg 3.58-3.67, 8 Ca 3.79-3.87
Mg: 0.0000 0.0000 0.0000  9 Ca 3.33-3.67
Mg: 0.5000 0.6667 0.3333  9 Ca 3.50-3.58, 2 Mg 3.87
Mg: 0.5000 0.3333 0.6667  9 Ca 3.50-3.58, 2 Mg 3.87

Computed properties:
As for the space-group type: P-62m (189). The formation energy is -0.5 kcal/mol of atoms.

=====

The following is a PBEsol calculation of a relaxed SeClF3 crystal, from Alexandria.

Cell: 4.1275 4.1275 4.1275 Å, 90.00 90.00 90.00°
Closest atoms and distances in Å follow each position.
Fractional coordinates of all 5 atoms:
Cl: 0.0000 0.0000 0.0000  12 F 2.92
F: 0.0000 0.5000 0.5000  2 Se 2.06
F: 0.5000 0.0000 0.5000  2 Se 2.06
F: 0.5000 0.5000 0.0000  2 Se 2.06
Se: 0.5000 0.5000 0.5000  6 F 2.06

Computed properties:
The uncorrected formation energy is -0.6825 eV/atom. As for the space-group type: Pm-3m (221).